[1]
! BeZn2Ni | Alexandria | PBE | relaxed; values from VASP
! - DFT formation energy (kJ/mol of formula units) = -7
! - uncorrected energy (eV/cell) = -12.12
! - crystal system = monoclinic
! - symmetry = C2/m (12)
&SYSTEM
  ibrav = 0, nat = 4, ntyp = 3
/
ATOMIC_SPECIES
Be 9.01 Be.upf
Zn 65.41 Zn.upf
Ni 58.69 Ni.upf
ATOMIC_POSITIONS crystal
Be 0.000 0.000 0.000
Zn 0.000 0.500 0.500
Zn 0.500 0.000 0.500
Ni 0.500 0.500 0.000
CELL_PARAMETERS angstrom
2.468 -4.000 0.000
2.468 4.000 0.000
-0.840 0.000 2.399

***

[2]
! InSi2Br | Alexandria | PBE | relaxed; values from VASP
! - energy relative to the lowest polymorph listed for this composition (meV per atom) = 482
! - formation energy (no corrections) (eV per formula unit) = 1.99
! - uncorrected energy (eV/cell) = -13.27
! - crystal system = orthorhombic
! - symmetry = Pmmm (47)
&SYSTEM
  ibrav = 0, nat = 4, ntyp = 3
/
ATOMIC_SPECIES
In 114.82 In.upf
Si 28.09 Si.upf
Br 79.90 Br.upf
ATOMIC_POSITIONS crystal
In 0.000 0.000 0.000
Si 0.000 0.500 0.500
Si 0.500 0.500 0.000
Br 0.500 0.000 0.500
CELL_PARAMETERS angstrom
3.199 0.000 0.000
0.000 5.191 0.000
0.000 0.000 5.219

***

[3]
! MgFe2Ag | Alexandria | PBE | relaxed; values from VASP
! - DFT formation energy (kJ/mol of formula units) = 255
! - uncorrected energy (eV/cell) = -37.46
! - crystal system = tetragonal
! - symmetry = I-42d (122)
&SYSTEM
  ibrav = 0, nat = 8, ntyp = 3
/
ATOMIC_SPECIES
Mg 24.30 Mg.upf
Fe 55.84 Fe.upf
Ag 107.87 Ag.upf
ATOMIC_POSITIONS crystal
Mg 0.000 0.000 0.000
Mg 0.750 0.250 0.500
Fe 0.134 0.625 0.009
Fe 0.375 0.384 0.509
Fe 0.616 0.125 0.991
Fe 0.875 0.866 0.491
Ag 0.250 0.750 0.500
Ag 0.500 0.500 0.000
CELL_PARAMETERS angstrom
-3.593 3.593 2.562
3.593 -3.593 2.562
3.593 3.593 -2.562

***

[4]
! KVBr2 | Alexandria | PBE | relaxed; values from VASP
! - energy relative to the lowest polymorph listed for this composition (meV per atom) = 0
! - formation energy (no corrections) (eV per formula unit) = -2.40
! - uncorrected energy (eV/cell) = -31.92
! - crystal system = tetragonal
! - symmetry = I-42d (122)
&SYSTEM
  ibrav = 0, nat = 8, ntyp = 3
/
ATOMIC_SPECIES
K 39.10 K.upf
V 50.94 V.upf
Br 79.90 Br.upf
ATOMIC_POSITIONS crystal
K 0.000 0.000 0.000
K 0.750 0.250 0.500
V 0.250 0.750 0.500
V 0.500 0.500 0.000
Br 0.208 0.625 0.083
Br 0.375 0.458 0.583
Br 0.542 0.125 0.917
Br 0.875 0.792 0.417
CELL_PARAMETERS angstrom
-3.271 3.271 6.961
3.271 -3.271 6.961
3.271 3.271 -6.961